{"formula": "ZrCrGe2", "functional": "PBE-GGA", "state": "relaxed", "lattice_angstrom": [[3.990, 0.000, 0.000], [0.000, 3.990, 0.000], [1.995, 1.995, 9.304]], "species": ["Ge", "Ge", "Ge", "Ge", "Zr", "Zr", "Cr", "Cr"], "frac_coords": [[0.165, 0.625, 0.250], [0.585, 0.125, 0.250], [0.375, 0.415, 0.750], [0.875, 0.835, 0.750], [0.750, 0.250, 0.500], [0.000, 0.000, 0.000], [0.250, 0.750, 0.500], [0.500, 0.500, 0.000]], "e_form_mev_per_atom": 188, "e_above_lowest_polymorph_ev_per_atom": 0.6656, "crystal_system": "tetragonal", "spacegroup": "No. 122", "n_ef_per_ev_atom": 0.7669, "volume_a3_per_atom": 18.51, "total_magnetization_mub_per_cell": 3.6}